(1)
# Cd2FeTe, relaxed, DFT PBE
# VASP energy = -3.163 eV/atom
# symmetry = P4mm, No. 99
data_Cd2FeTe
_space_group_name_H-M_alt 'P 1'
_space_group_IT_number 1
_space_group_name_Hall 'P 1'
_cell_length_a 3.1178
_cell_length_b 3.1180
_cell_length_c 8.7525
_cell_angle_alpha 90.00
_cell_angle_beta 90.00
_cell_angle_gamma 90.00
loop_
_atom_site_label
_atom_site_fract_x
_atom_site_fract_y
_atom_site_fract_z
Cd1 0.0000 0.0000 0.0306
Cd2 0.5000 0.5000 0.2963
Fe1 0.0000 0.0000 0.5092
Te1 0.5000 0.5000 0.6639

(2)
# NdPuTe2, relaxed, DFT PBE
# energy above the lowest structure with this stoichiometry = 28 meV per atom
# symmetry = P6_3/mmc, No. 194
data_NdPuTe2
_space_group_name_H-M_alt 'P 1'
_space_group_IT_number 1
_space_group_name_Hall 'P 1'
_cell_length_a 4.3853
_cell_length_b 4.3853
_cell_length_c 15.1157
_cell_angle_alpha 90.00
_cell_angle_beta 90.00
_cell_angle_gamma 120.00
loop_
_atom_site_label
_atom_site_fract_x
_atom_site_fract_y
_atom_site_fract_z
Nd1 0.6667 0.3333 0.2500
Nd2 0.3333 0.6667 0.7500
Pu1 0.0000 0.0000 0.5000
Pu2 0.0000 0.0000 0.0000
Te1 0.3333 0.6667 0.3795
Te2 0.6667 0.3333 0.8795
Te3 0.6667 0.3333 0.6205
Te4 0.3333 0.6667 0.1205

(3)
# La6Ti2S8O5, relaxed, DFT PBE
# VASP energy = -7.477 eV/atom
# symmetry = P2_1/m, No. 11
data_La6Ti2S8O5
_space_group_name_H-M_alt 'P 1'
_space_group_IT_number 1
_space_group_name_Hall 'P 1'
_cell_length_a 4.0205
_cell_length_b 12.7886
_cell_length_c 16.4940
_cell_angle_alpha 82.83
_cell_angle_beta 90.00
_cell_angle_gamma 90.00
loop_
_atom_site_label
_atom_site_fract_x
_atom_site_fract_y
_atom_site_fract_z
La1 0.7500 0.6820 0.6485
La2 0.7500 0.3953 0.1266
La3 0.7500 0.0674 0.1169
La4 0.2500 0.6047 0.8734
La5 0.2500 0.3180 0.3515
La6 0.2500 0.3859 0.6015
La7 0.2500 0.0000 0.6199
La8 0.2500 0.9326 0.8831
La9 0.7500 0.6141 0.3985
La10 0.7500 0.0000 0.3801
La11 0.7500 0.7301 0.1020
La12 0.2500 0.2699 0.8980
Ti1 0.7500 0.4417 0.7738
Ti2 0.7500 0.1544 0.7682
Ti3 0.2500 0.8456 0.2318
Ti4 0.2500 0.5583 0.2262
S1 0.7500 0.4314 0.9388
S2 0.2500 0.2353 0.0764
S3 0.2500 0.9133 0.0675
S4 0.2500 0.7755 0.7307
S5 0.2500 0.8039 0.3729
S6 0.7500 0.3915 0.4650
S7 0.2500 0.6085 0.5350
S8 0.2500 0.5686 0.0612
S9 0.7500 0.7647 0.9236
S10 0.7500 0.9709 0.7550
S11 0.7500 0.8883 0.5464
S12 0.7500 0.1961 0.6271
S13 0.2500 0.1117 0.4536
S14 0.7500 0.2245 0.2693
S15 0.2500 0.0291 0.2450
S16 0.7500 0.0867 0.9325
O1 0.7500 0.2879 0.8090
O2 0.2500 0.1511 0.7836
O3 0.7500 0.4525 0.6606
O4 0.2500 0.5475 0.3394
O5 0.2500 0.4149 0.2136
O6 0.7500 0.8489 0.2164
O7 0.7500 0.5851 0.7864
O8 0.2500 0.7121 0.1910
O9 0.7500 0.5665 0.2172
O10 0.2500 0.4335 0.7828

(4)
# Ca3Sm3MgS8, relaxed, DFT PBE
# VASP energy = -5.629 eV/atom
# symmetry = R-3m, No. 166
data_Ca3Sm3MgS8
_space_group_name_H-M_alt 'P 1'
_space_group_IT_number 1
_space_group_name_Hall 'P 1'
_cell_length_a 7.9648
_cell_length_b 7.9647
_cell_length_c 8.0281
_cell_angle_alpha 119.74
_cell_angle_beta 90.00
_cell_angle_gamma 120.00
loop_
_atom_site_label
_atom_site_fract_x
_atom_site_fract_y
_atom_site_fract_z
Ca1 0.0000 0.0000 0.0000
Ca2 0.0000 0.5000 0.0000
Ca3 0.5000 0.5000 0.0000
Sm1 0.5000 0.0000 0.5000
Sm2 0.5000 0.5000 0.5000
Sm3 0.0000 0.5000 0.5000
Mg1 0.0000 0.0000 0.5000
S1 0.2500 0.5000 0.2500
S2 0.7500 0.5000 0.7500
S3 0.7630 0.5259 0.2659
S4 0.2370 0.4741 0.7341
S5 0.7630 0.0029 0.2659
S6 0.2370 0.9971 0.7341
S7 0.2400 0.0029 0.2659
S8 0.7600 0.9971 0.7341

(5)
# MgNbReSn, relaxed, DFT PBE
# formation energy = 0.169 eV per atom
# energy above the lowest structure with this stoichiometry = 173 meV per atom
# symmetry = Pm, No. 6
data_MgNbReSn
_space_group_name_H-M_alt 'P 1'
_space_group_IT_number 1
_space_group_name_Hall 'P 1'
_cell_length_a 2.9213
_cell_length_b 4.6802
_cell_length_c 5.4060
_cell_angle_alpha 90.00
_cell_angle_beta 97.38
_cell_angle_gamma 90.00
loop_
_atom_site_label
_atom_site_fract_x
_atom_site_fract_y
_atom_site_fract_z
Mg1 0.7394 0.5000 0.9971
Nb1 0.5366 0.0000 0.2980
Re1 0.1597 0.0000 0.8370
Sn1 0.1207 0.5000 0.5182

(6)
# TiPbI, relaxed, DFT PBE
# VASP energy = -4.457 eV/atom
# symmetry = P2_1/c, No. 14
data_TiPbI
_space_group_name_H-M_alt 'P 1'
_space_group_IT_number 1
_space_group_name_Hall 'P 1'
_cell_length_a 3.5963
_cell_length_b 10.9952
_cell_length_c 8.7721
_cell_angle_alpha 94.47
_cell_angle_beta 90.00
_cell_angle_gamma 90.00
loop_
_atom_site_label
_atom_site_fract_x
_atom_site_fract_y
_atom_site_fract_z
Pb1 0.4570 0.6440 0.8546
Pb2 0.0430 0.1440 0.3546
Pb3 0.9570 0.8560 0.6454
Pb4 0.5430 0.3560 0.1454
Ti1 0.0807 0.4054 0.8808
Ti2 0.9193 0.5946 0.1192
Ti3 0.4193 0.9054 0.3808
Ti4 0.5807 0.0946 0.6192
I1 0.0877 0.1346 0.8683
I2 0.4123 0.6346 0.3683
I3 0.5877 0.3654 0.6317
I4 0.9123 0.8654 0.1317

Which total magnetization belongs to each record? In order, 0.5; 5.5; 0.0; 0.0; 0.0; 0.6 μB/f.u..